Density functional theory data (PBE) for crystalline Na2IBr at its relaxed geometry.

Unit cell a=8.3614 b=8.3614 c=8.3614 alpha=130.88 beta=130.88 gamma=72.01
Closest atoms and distances in Å follow each position.
Fractional coordinates of all 8 atoms:
1 Na 0.0970 0.6250 0.9720  2 Br 2.87, 2 I 3.10
2 Na 0.3750 0.3470 0.4720  2 Br 2.87, 2 I 3.10
3 Na 0.6530 0.1250 0.0280  2 Br 2.87, 2 I 3.10
4 Na 0.8750 0.9030 0.5280  2 Br 2.87, 2 I 3.10
5 I 0.2500 0.7500 0.5000  4 Na 3.10
6 I 0.5000 0.5000 0.0000  4 Na 3.10
7 Br 0.0000 0.0000 0.0000  4 Na 2.87
8 Br 0.7500 0.2500 0.5000  4 Na 2.87

Output
The formation energy from raw total energies comes out at -1355 meV per atom.


Density functional theory data (PBE) for crystalline NaIBr2 at its relaxed geometry.

Unit cell a=7.0380 b=15.7359 c=6.0973 alpha=90.00 beta=90.00 gamma=90.00
Closest atoms and distances in Å follow each position.
Fractional coordinates of all 16 atoms:
1 Na 0.0359 0.1345 0.0000  4 Br 2.95-2.99, 1 I 3.27
2 Na 0.4641 0.6345 0.5000  4 Br 2.95-2.99, 1 I 3.27
3 Na 0.5359 0.3655 0.0000  4 Br 2.95-2.99, 1 I 3.27
4 Na 0.9641 0.8655 0.5000  4 Br 2.95-2.99, 1 I 3.27
5 I 0.1489 0.3852 0.2915  2 Br 2.73-2.75
6 I 0.3511 0.8852 0.7915  2 Br 2.73-2.75
7 I 0.6489 0.1148 0.2915  2 Br 2.73-2.75
8 I 0.8511 0.6148 0.7915  2 Br 2.73-2.75
9 Br 0.0611 0.6836 0.4557  1 I 2.75, 2 Na 2.95
10 Br 0.1273 0.9542 0.1110  1 I 2.73, 2 Na 2.98-2.99
11 Br 0.3727 0.4542 0.6110  1 I 2.73, 2 Na 2.98-2.99
12 Br 0.4389 0.1836 0.9557  1 I 2.75, 2 Na 2.95
13 Br 0.5611 0.8164 0.4557  1 I 2.75, 2 Na 2.95
14 Br 0.6273 0.5458 0.1110  1 I 2.73, 2 Na 2.98-2.99
15 Br 0.8727 0.0458 0.6110  1 I 2.73, 2 Na 2.98-2.99
16 Br 0.9389 0.3164 0.9557  1 I 2.75, 2 Na 2.95

Output
The formation energy from raw total energies comes out at -769 meV per atom.


Density functional theory data (PBE) for crystalline Na12I3Br5 at its relaxed geometry.

Unit cell a=16.0227 b=16.0227 c=16.0227 alpha=109.47 beta=109.47 gamma=109.47
Closest atoms and distances in Å follow each position.
Fractional coordinates of all 80 atoms:
1 Na 0.0399 0.2117 0.1307  2 Br 2.89-3.04
2 Na 0.0399 0.3282 0.9092  2 Br 2.89-3.04
3 Na 0.0810 0.7117 0.6718  2 Br 2.89-3.04
4 Na 0.0810 0.8693 0.4092  2 Br 2.89-3.04
5 Na 0.0908 0.6307 0.4190  2 Br 2.89-3.04
6 Na 0.0908 0.9601 0.6718  2 Br 2.89-3.04
7 Na 0.1307 0.0399 0.2117  2 Br 2.89-3.04
8 Na 0.1307 0.5908 0.9190  2 Br 2.89-3.04
9 Na 0.1718 0.2117 0.5810  2 Br 2.89-3.04
10 Na 0.1718 0.4601 0.5908  2 Br 2.89-3.04
11 Na 0.2117 0.1307 0.0399  2 Br 2.89-3.04
12 Na 0.2117 0.5810 0.1718  2 Br 2.89-3.04
13 Na 0.2883 0.3282 0.9190  2 Br 2.89-3.04
14 Na 0.2883 0.4601 0.3693  2 Br 2.89-3.04
15 Na 0.3282 0.9092 0.0399  2 Br 2.89-3.04
16 Na 0.3282 0.9190 0.2883  2 Br 2.89-3.04
17 Na 0.3693 0.2883 0.4601  2 Br 2.89-3.04
18 Na 0.3693 0.5810 0.9092  2 Br 2.89-3.04
19 Na 0.4092 0.0810 0.8693  2 Br 2.89-3.04
20 Na 0.4092 0.8282 0.5399  2 Br 2.89-3.04
21 Na 0.4190 0.0908 0.6307  2 Br 2.89-3.04
22 Na 0.4190 0.8282 0.7883  2 Br 2.89-3.04
23 Na 0.4601 0.3693 0.2883  2 Br 2.89-3.04
24 Na 0.4601 0.5908 0.1718  2 Br 2.89-3.04
25 Na 0.5399 0.4092 0.8282  2 Br 2.89-3.04
26 Na 0.5399 0.6307 0.7117  2 Br 2.89-3.04
27 Na 0.5810 0.1718 0.2117  2 Br 2.89-3.04
28 Na 0.5810 0.9092 0.3693  2 Br 2.89-3.04
29 Na 0.5908 0.1718 0.4601  2 Br 2.89-3.04
30 Na 0.5908 0.9190 0.1307  2 Br 2.89-3.04
31 Na 0.6307 0.4190 0.0908  2 Br 2.89-3.04
32 Na 0.6307 0.7117 0.5399  2 Br 2.89-3.04
33 Na 0.6718 0.0810 0.7117  2 Br 2.89-3.04
34 Na 0.6718 0.0908 0.9601  2 Br 2.89-3.04
35 Na 0.7117 0.5399 0.6307  2 Br 2.89-3.04
36 Na 0.7117 0.6718 0.0810  2 Br 2.89-3.04
37 Na 0.7883 0.4190 0.8282  2 Br 2.89-3.04
38 Na 0.7883 0.8693 0.9601  2 Br 2.89-3.04
39 Na 0.8282 0.5399 0.4092  2 Br 2.89-3.04
40 Na 0.8282 0.7883 0.4190  2 Br 2.89-3.04
41 Na 0.8693 0.4092 0.0810  2 Br 2.89-3.04
42 Na 0.8693 0.9601 0.7883  2 Br 2.89-3.04
43 Na 0.9092 0.0399 0.3282  2 Br 2.89-3.04
44 Na 0.9092 0.3693 0.5810  2 Br 2.89-3.04
45 Na 0.9190 0.1307 0.5908  2 Br 2.89-3.04
46 Na 0.9190 0.2883 0.3282  2 Br 2.89-3.04
47 Na 0.9601 0.6718 0.0908  2 Br 2.89-3.04
48 Na 0.9601 0.7883 0.8693  2 Br 2.89-3.04
49 I 0.1250 0.2500 0.3750  8 Na 3.44-3.56
50 I 0.1250 0.3750 0.7500  8 Na 3.44-3.56
51 I 0.2500 0.3750 0.1250  8 Na 3.44-3.56
52 I 0.2500 0.8750 0.6250  8 Na 3.44-3.56
53 I 0.3750 0.1250 0.2500  8 Na 3.44-3.56
54 I 0.3750 0.7500 0.1250  8 Na 3.44-3.56
55 I 0.6250 0.2500 0.8750  8 Na 3.44-3.56
56 I 0.6250 0.8750 0.7500  8 Na 3.44-3.56
57 I 0.7500 0.1250 0.3750  8 Na 3.44-3.56
58 I 0.7500 0.6250 0.8750  8 Na 3.44-3.56
59 I 0.8750 0.6250 0.2500  8 Na 3.44-3.56
60 I 0.8750 0.7500 0.6250  8 Na 3.44-3.56
61 Br 0.0000 0.0000 0.0000  6 Na 3.04
62 Br 0.0000 0.0000 0.5000  6 Na 3.04
63 Br 0.0000 0.5000 0.0000  6 Na 3.04
64 Br 0.0000 0.5000 0.5000  6 Na 3.04
65 Br 0.1250 0.7500 0.8750  4 Na 2.89
66 Br 0.1250 0.8750 0.2500  4 Na 2.89
67 Br 0.2500 0.1250 0.8750  4 Na 2.89
68 Br 0.2500 0.6250 0.3750  4 Na 2.89
69 Br 0.3750 0.2500 0.6250  4 Na 2.89
70 Br 0.3750 0.6250 0.7500  4 Na 2.89
71 Br 0.5000 0.0000 0.0000  6 Na 3.04
72 Br 0.5000 0.0000 0.5000  6 Na 3.04
73 Br 0.5000 0.5000 0.0000  6 Na 3.04
74 Br 0.5000 0.5000 0.5000  6 Na 3.04
75 Br 0.6250 0.3750 0.2500  4 Na 2.89
76 Br 0.6250 0.7500 0.3750  4 Na 2.89
77 Br 0.7500 0.3750 0.6250  4 Na 2.89
78 Br 0.7500 0.8750 0.1250  4 Na 2.89
79 Br 0.8750 0.1250 0.7500  4 Na 2.89
80 Br 0.8750 0.2500 0.1250  4 Na 2.89

Output
The formation energy from raw total energies comes out at -956 meV per atom.


Density functional theory data (PBE) for crystalline Na3IBr2 at its relaxed geometry.

Unit cell a=7.6071 b=7.6071 c=7.6071 alpha=146.55 beta=131.59 gamma=60.12
Closest atoms and distances in Å follow each position.
Fractional coordinates of all 6 atoms:
1 Na 0.0000 0.0000 0.0000  4 Br 3.09, 2 I 3.12
2 Na 0.3206 0.3206 0.0000  4 Br 2.99-3.12, 2 I 3.22
3 Na 0.6794 0.6794 0.0000  4 Br 2.99-3.12, 2 I 3.22
4 I 0.5000 0.0000 0.5000  6 Na 3.12-3.22
5 Br 0.1661 0.6661 0.5000  6 Na 2.99-3.12
6 Br 0.8339 0.3339 0.5000  6 Na 2.99-3.12

Output
The formation energy from raw total energies comes out at -1450 meV per atom.


Density functional theory data (PBE) for crystalline Na3IBr6 at its relaxed geometry.

Unit cell a=6.4278 b=7.8726 c=14.9416 alpha=90.00 beta=110.26 gamma=90.00
Closest atoms and distances in Å follow each position.
Fractional coordinates of all 20 atoms:
1 Na 0.0000 0.0000 0.0000  6 Br 2.87-3.17
2 Na 0.0000 0.5000 0.5000  6 Br 2.87-3.17
3 Na 0.2606 0.1517 0.7450  4 Br 2.82-3.07
4 Na 0.2606 0.3483 0.2450  4 Br 2.82-3.07
5 Na 0.7394 0.6517 0.7550  4 Br 2.82-3.07
6 Na 0.7394 0.8483 0.2550  4 Br 2.82-3.07
7 I 0.5000 0.0000 0.5000  4 Br 2.71-2.77
8 I 0.5000 0.5000 0.0000  4 Br 2.71-2.77
9 Br 0.0687 0.0106 0.2005  3 Na 2.82-2.91
10 Br 0.0687 0.4894 0.7005  3 Na 2.82-2.91
11 Br 0.3189 0.6997 0.1066  1 I 2.77, 1 Na 3.07
12 Br 0.3189 0.8003 0.6066  1 I 2.77, 1 Na 3.07
13 Br 0.4088 0.2204 0.0862  1 I 2.71, 2 Na 3.02-3.04
14 Br 0.4088 0.2796 0.5862  1 I 2.71, 2 Na 3.02-3.04
15 Br 0.5912 0.7204 0.4138  1 I 2.71, 2 Na 3.02-3.04
16 Br 0.5912 0.7796 0.9138  1 I 2.71, 2 Na 3.02-3.04
17 Br 0.6811 0.1997 0.3934  1 I 2.77, 1 Na 3.07
18 Br 0.6811 0.3003 0.8934  1 I 2.77, 1 Na 3.07
19 Br 0.9313 0.5106 0.2995  3 Na 2.82-2.91
20 Br 0.9313 0.9894 0.7995  3 Na 2.82-2.91

Output
The formation energy from raw total energies comes out at -895 meV per atom.


Density functional theory data (PBE) for crystalline Na3I2Br at its relaxed geometry.

Unit cell a=9.8661 b=9.8661 c=9.8661 alpha=152.66 beta=152.66 gamma=39.06
Closest atoms and distances in Å follow each position.
Fractional coordinates of all 6 atoms:
1 Na 0.0000 0.0000 0.0000  2 I 3.10, 4 Br 3.30
2 Na 0.3415 0.3415 0.0000  1 Br 2.95, 5 I 3.25-3.30
3 Na 0.6585 0.6585 0.0000  1 Br 2.95, 5 I 3.25-3.30
4 I 0.1666 0.1666 0.0000  6 Na 3.10-3.30
5 I 0.8334 0.8334 0.0000  6 Na 3.10-3.30
6 Br 0.5000 0.5000 0.0000  6 Na 2.95-3.30

Output
The formation energy from raw total energies comes out at -1339 meV per atom.